(1)
TbEuPu after structural relaxation. Source: Alexandria, functional PBE.

Structure (POSCAR):
```
TbEuPu
1.0
-1.767 1.767 7.762
1.767 -1.767 7.762
1.767 1.767 -7.762
Tb Eu Pu
1 1 1
Direct
0.000 0.000 0.000 Tb
0.674 0.674 0.000 Eu
0.348 0.348 0.000 Pu
```

Summary:
Crystal system: tetragonal
Formation energy, eV/atom: 0.1995



(2)
EuPuTc after structural relaxation. Source: Alexandria, functional PBE.

Structure (POSCAR):
```
EuPuTc
1.0
-1.706 1.706 6.221
1.706 -1.706 6.221
1.706 1.706 -6.221
Eu Pu Tc
1 1 1
Direct
0.000 0.000 0.000 Eu
0.280 0.280 0.000 Pu
0.669 0.669 0.000 Tc
```

Summary:
Crystal system: tetragonal
Formation energy, eV/atom: 0.1750



(3)
EuPu3Tc after structural relaxation. Source: Alexandria, functional PBE.

Structure (POSCAR):
```
EuPu3Tc
1.0
5.329 0.000 0.000
0.000 5.329 0.000
0.000 0.000 5.329
Eu Pu Tc
1 3 1
Direct
0.000 0.000 0.000 Eu
0.000 0.500 0.500 Pu
0.500 0.000 0.500 Pu
0.500 0.500 0.000 Pu
0.500 0.500 0.500 Tc
```

Summary:
Crystal system: cubic
Formation energy, eV/atom: 0.3103



(4)
EuPu2Tc after structural relaxation. Source: Alexandria, functional PBE.

Structure (POSCAR):
```
EuPu2Tc
1.0
3.335 0.000 0.000
0.000 3.335 0.000
0.000 0.000 9.214
Eu Pu Tc
1 2 1
Direct
0.000 0.000 0.000 Eu
0.500 0.500 0.313 Pu
0.500 0.500 0.687 Pu
0.000 0.000 0.500 Tc
```

Summary:
Crystal system: tetragonal
Formation energy, eV/atom: 0.1254



(5)
EuPuTl after structural relaxation. Source: Alexandria, functional PBE.

Structure (POSCAR):
```
EuPuTl
1.0
5.497 0.000 0.000
-2.749 4.761 0.000
0.000 0.000 3.369
Eu Pu Tl
1 1 1
Direct
0.000 0.000 0.000 Eu
0.333 0.667 0.375 Pu
0.667 0.333 0.642 Tl
```

Summary:
Crystal system: trigonal
Formation energy, eV/atom: 0.0605
Relative energy among the computed polymorphs, meV/atom: 89



(6)
EuPuTl2 after structural relaxation. Source: Alexandria, functional PBE.

Structure (POSCAR):
```
EuPuTl2
1.0
0.000 3.912 3.912
3.912 0.000 3.912
3.912 3.912 0.000
Eu Pu Tl
1 1 2
Direct
0.000 0.000 0.000 Eu
0.500 0.500 0.500 Pu
0.250 0.250 0.250 Tl
0.750 0.750 0.750 Tl
```

Summary:
Crystal system: cubic
Formation energy, eV/atom: -0.1666
Relative energy among the computed polymorphs, meV/atom: 19



(7)
EuPuTl2 after structural relaxation. Source: Alexandria, functional PBE.

Structure (POSCAR):
```
EuPuTl2
1.0
3.864 0.000 0.000
0.000 3.864 0.000
0.000 0.000 8.032
Eu Pu Tl
1 1 2
Direct
0.000 0.000 0.000 Eu
0.000 0.000 0.500 Pu
0.500 0.500 0.259 Tl
0.500 0.500 0.741 Tl
```

Summary:
Crystal system: tetragonal
Formation energy, eV/atom: -0.1861
Relative energy among the computed polymorphs, meV/atom: 0



(8)
EuPuTl after structural relaxation. Source: Alexandria, functional PBE.

Structure (POSCAR):
```
EuPuTl
1.0
-1.938 1.938 6.254
1.938 -1.938 6.254
1.938 1.938 -6.254
Eu Pu Tl
1 1 1
Direct
0.000 0.000 0.000 Eu
0.695 0.695 0.000 Pu
0.340 0.340 0.000 Tl
```

Summary:
Crystal system: tetragonal
Formation energy, eV/atom: -0.0284
Relative energy among the computed polymorphs, meV/atom: 0



(9)
EuTmPu after structural relaxation. Source: Alexandria, functional PBE.

Structure (POSCAR):
```
EuTmPu
1.0
-1.757 1.757 7.774
1.757 -1.757 7.774
1.757 1.757 -7.774
Eu Tm Pu
1 1 1
Direct
0.000 0.000 0.000 Eu
0.679 0.679 0.000 Tm
0.331 0.331 0.000 Pu
```

Summary:
Crystal system: tetragonal
Formation energy, eV/atom: 0.1860



(10)
EuTm2Pu after structural relaxation. Source: Alexandria, functional PBE.

Structure (POSCAR):
```
EuTm2Pu
1.0
4.975 0.000 0.000
0.000 4.975 0.000
0.000 0.000 5.075
Eu Tm Pu
1 2 1
Direct
0.000 0.000 0.000 Eu
0.000 0.500 0.500 Tm
0.500 0.000 0.500 Tm
0.500 0.500 0.000 Pu
```

Summary:
Crystal system: tetragonal
Formation energy, eV/atom: 0.2075
Relative energy among the computed polymorphs, meV/atom: 82



(11)
EuTm2Pu after structural relaxation. Source: Alexandria, functional PBE.

Structure (POSCAR):
```
EuTm2Pu
1.0
3.550 0.000 0.000
0.000 3.550 0.000
0.000 0.000 9.951
Eu Tm Pu
1 2 1
Direct
0.000 0.000 0.000 Eu
0.500 0.500 0.270 Tm
0.500 0.500 0.730 Tm
0.000 0.000 0.500 Pu
```

Summary:
Crystal system: tetragonal
Formation energy, eV/atom: 0.1254
Relative energy among the computed polymorphs, meV/atom: 0



(12)
EuY2Pu after structural relaxation. Source: Alexandria, functional PBE.

Structure (POSCAR):
```
EuY2Pu
1.0
3.595 0.000 0.000
0.000 3.595 0.000
0.000 0.000 10.156
Eu Y Pu
1 2 1
Direct
0.000 0.000 0.000 Eu
0.500 0.500 0.269 Y
0.500 0.500 0.731 Y
0.000 0.000 0.500 Pu
```

Summary:
Crystal system: tetragonal
Formation energy, eV/atom: 0.1328
Relative energy among the computed polymorphs, meV/atom: 0



(13)
EuY2Pu after structural relaxation. Source: Alexandria, functional PBE.

Structure (POSCAR):
```
EuY2Pu
1.0
5.062 0.000 0.000
0.000 5.062 0.000
0.000 0.000 5.121
Eu Y Pu
1 2 1
Direct
0.000 0.000 0.000 Eu
0.000 0.500 0.500 Y
0.500 0.000 0.500 Y
0.500 0.500 0.000 Pu
```

Summary:
Crystal system: tetragonal
Formation energy, eV/atom: 0.2193
Relative energy among the computed polymorphs, meV/atom: 86



(14)
EuYPu after structural relaxation. Source: Alexandria, functional PBE.

Structure (POSCAR):
```
EuYPu
1.0
-1.774 1.774 7.848
1.774 -1.774 7.848
1.774 1.774 -7.848
Eu Y Pu
1 1 1
Direct
0.000 0.000 0.000 Eu
0.319 0.319 0.000 Y
0.665 0.665 0.000 Pu
```

Summary:
Crystal system: tetragonal
Formation energy, eV/atom: 0.1904



(15)
Eu2PuZn after structural relaxation. Source: Alexandria, functional PBE.

Structure (POSCAR):
```
Eu2PuZn
1.0
3.560 0.000 0.000
0.000 3.560 0.000
0.000 0.000 9.496
Eu Pu Zn
2 1 1
Direct
0.000 0.000 0.207 Eu
0.000 0.000 0.793 Eu
0.500 0.500 0.500 Pu
0.500 0.500 0.000 Zn
```

Summary:
Crystal system: tetragonal
Formation energy, eV/atom: 0.0853



(16)
Rb3Eu after structural relaxation. Source: Alexandria, functional PBE.

Structure (POSCAR):
```
Rb3Eu
1.0
-2.244 7.848 4.252
2.244 -7.848 4.252
2.244 7.848 -4.252
Rb Eu
3 1
Direct
0.000 0.000 0.000 Rb
0.449 0.695 0.755 Rb
0.940 0.695 0.245 Rb
0.496 0.996 0.500 Eu
```

Summary:
Crystal system: orthorhombic
Formation energy, eV/atom: 0.1823
Relative energy among the computed polymorphs, meV/atom: 2



(17)
Rb3Eu after structural relaxation. Source: Alexandria, functional PBE.

Structure (POSCAR):
```
Rb3Eu
1.0
4.500 0.000 0.000
0.000 7.827 0.000
0.000 0.000 8.541
Rb Eu
3 1
Direct
0.000 0.000 0.000 Rb
0.000 0.500 0.314 Rb
0.500 0.500 0.794 Rb
0.500 0.000 0.497 Eu
```

Summary:
Crystal system: orthorhombic
Formation energy, eV/atom: 0.1801
Relative energy among the computed polymorphs, meV/atom: 0



(18)
Rb5Eu after structural relaxation. Source: Alexandria, functional PBE.

Structure (POSCAR):
```
Rb5Eu
1.0
3.992 -12.030 0.000
3.992 12.030 0.000
0.000 0.000 5.010
Rb Eu
5 1
Direct
0.000 0.000 0.000 Rb
0.164 0.836 0.500 Rb
0.339 0.661 0.000 Rb
0.661 0.339 0.000 Rb
0.836 0.164 0.500 Rb
0.500 0.500 0.500 Eu
```

Summary:
Crystal system: orthorhombic
Formation energy, eV/atom: 0.1354



(19)
RbEu6 after structural relaxation. Source: Alexandria, functional PBE.

Structure (POSCAR):
```
RbEu6
1.0
-4.887 4.887 4.887
4.887 -4.887 4.887
4.887 4.887 -4.887
Rb Eu
1 6
Direct
0.000 0.000 0.000 Rb
0.250 0.500 0.750 Eu
0.250 0.750 0.500 Eu
0.500 0.250 0.750 Eu
0.500 0.750 0.250 Eu
0.750 0.250 0.500 Eu
0.750 0.500 0.250 Eu
```

Summary:
Crystal system: cubic
Formation energy, eV/atom: 0.8558



(20)
RbEu2Rh after structural relaxation. Source: Alexandria, functional PBE.

Structure (POSCAR):
```
RbEu2Rh
1.0
2.127 1.228 11.442
-2.127 1.228 11.442
0.000 -2.456 11.442
Rb Eu Rh
1 2 1
Direct
0.000 0.000 0.000 Rb
0.123 0.123 0.123 Eu
0.877 0.877 0.877 Eu
0.500 0.500 0.500 Rh
```

Summary:
Crystal system: trigonal
Formation energy, eV/atom: -0.1149
Relative energy among the computed polymorphs, meV/atom: 0